[1]
! Li3NiIr, relaxed, DFT GGA-PBE; values from VASP
! Total magnetic moment ... 0.04 μB per formula unit
! ΔE to the lowest computed polymorph ... 0.494 eV per atom
! Density of states at the Fermi level ... 3.31 states/eV/cell
! E_form ... 0.80 eV/atom
&SYSTEM
  ibrav = 0, nat = 5, ntyp = 3
/
ATOMIC_SPECIES
Li 6.94 Li.upf
Ni 58.69 Ni.upf
Ir 192.22 Ir.upf
ATOMIC_POSITIONS crystal
Li 0.000 0.000 0.500
Li 0.000 0.500 0.000
Li 0.500 0.000 0.000
Ni 0.000 0.000 0.000
Ir 0.500 0.500 0.500
CELL_PARAMETERS angstrom
4.105 0.000 0.000
0.000 4.105 0.000
0.000 0.000 4.105

[2]
! Li2NiIr, relaxed, DFT GGA-PBE; values from VASP
! Total magnetic moment ... 0.00 μB per formula unit
! ΔE to the lowest computed polymorph ... 0.040 eV per atom
! Density of states at the Fermi level ... 1.69 states/eV/cell
! E_form ... -0.13 eV/atom
&SYSTEM
  ibrav = 0, nat = 4, ntyp = 3
/
ATOMIC_SPECIES
Li 6.94 Li.upf
Ni 58.69 Ni.upf
Ir 192.22 Ir.upf
ATOMIC_POSITIONS crystal
Li 0.000 0.000 0.000
Li 0.237 0.237 0.922
Ni 0.492 0.492 0.475
Ir 0.756 0.756 0.444
CELL_PARAMETERS angstrom
4.722 -1.270 0.000
4.722 1.270 0.000
-2.103 0.000 4.222

[3]
! LiNi4Ir2, relaxed, DFT GGA-PBE; values from VASP
! Total magnetic moment ... 2.78 μB per formula unit
! Density of states at the Fermi level ... 8.12 states/eV/cell
! E_form ... 0.19 eV/atom
&SYSTEM
  ibrav = 0, nat = 7, ntyp = 3
/
ATOMIC_SPECIES
Li 6.94 Li.upf
Ni 58.69 Ni.upf
Ir 192.22 Ir.upf
ATOMIC_POSITIONS crystal
Li 0.000 0.000 0.000
Ni 0.399 0.886 0.114
Ni 0.492 0.998 0.508
Ni 0.886 0.399 0.601
Ni 0.998 0.492 0.002
Ir 0.397 0.397 0.103
Ir 0.897 0.897 0.603
CELL_PARAMETERS angstrom
0.000 4.132 4.484
2.506 0.000 4.484
2.506 4.132 0.000

[4]
! LiNiIr, relaxed, DFT GGA-PBE; values from VASP
! Total magnetic moment ... 0.00 μB per formula unit
! ΔE to the lowest computed polymorph ... 0.160 eV per atom
! Density of states at the Fermi level ... 7.14 states/eV/cell
! E_form ... 0.03 eV/atom
&SYSTEM
  ibrav = 0, nat = 6, ntyp = 3
/
ATOMIC_SPECIES
Li 6.94 Li.upf
Ni 58.69 Ni.upf
Ir 192.22 Ir.upf
ATOMIC_POSITIONS crystal
Li 0.075 0.925 0.750
Li 0.925 0.075 0.250
Ni 0.417 0.583 0.750
Ni 0.583 0.417 0.250
Ir 0.251 0.749 0.250
Ir 0.749 0.251 0.750
CELL_PARAMETERS angstrom
1.927 -5.096 0.000
1.927 5.096 0.000
0.000 0.000 3.773